Computed, not measured: ErTmGaFe after structural relaxation at the PBE-GGA level of DFT.

Electronic total energy   -21.38 eV/cell
Crystal system   cubic

Geometry as extended XYZ:
```
4
Lattice="0.0000 3.4410 3.4410 3.4410 0.0000 3.4410 3.4410 3.4410 0.0000" Properties=species:S:1:pos:R:3 pbc="T T T"
Er 0.0000 0.0000 0.0000
Tm 3.4410 3.4410 3.4410
Ga 5.1614 5.1614 5.1614
Fe 1.7205 1.7205 1.7205
```

***

Computed, not measured: Gd3ErFe after structural relaxation at the PBE-GGA level of DFT.

Electronic total energy   -54.67 eV/cell
Crystal system   cubic

Geometry as extended XYZ:
```
5
Lattice="5.2918 0.0000 0.0000 0.0000 5.2918 0.0000 0.0000 0.0000 5.2918" Properties=species:S:1:pos:R:3 pbc="T T T"
Gd 0.0000 0.0000 2.6459
Gd 0.0000 2.6459 0.0000
Gd 2.6459 0.0000 0.0000
Er 2.6459 2.6459 2.6459
Fe 0.0000 0.0000 0.0000
```

***

Computed, not measured: GdErFeIr after structural relaxation at the PBE-GGA level of DFT.

Electronic total energy   -37.30 eV/cell
Crystal system   cubic

Geometry as extended XYZ:
```
4
Lattice="0.0000 3.4122 3.4122 3.4122 0.0000 3.4122 3.4122 3.4122 0.0000" Properties=species:S:1:pos:R:3 pbc="T T T"
Gd 0.0000 0.0000 0.0000
Er 3.4122 3.4122 3.4122
Fe 1.7061 1.7061 1.7061
Ir 5.1183 5.1183 5.1183
```

***

Computed, not measured: LiGdErFe after structural relaxation at the PBE-GGA level of DFT.

Electronic total energy   -28.69 eV/cell
Crystal system   cubic

Geometry as extended XYZ:
```
4
Lattice="0.0000 3.4372 3.4372 3.4372 0.0000 3.4372 3.4372 3.4372 0.0000" Properties=species:S:1:pos:R:3 pbc="T T T"
Li 0.0000 0.0000 0.0000
Gd 5.1557 5.1557 5.1557
Er 1.7186 1.7186 1.7186
Fe 3.4372 3.4372 3.4372
```

***

Computed, not measured: GdErFeNi after structural relaxation at the PBE-GGA level of DFT.

Electronic total energy   -33.24 eV/cell
Crystal system   cubic

Geometry as extended XYZ:
```
4
Lattice="0.0000 3.3581 3.3581 3.3581 0.0000 3.3581 3.3581 3.3581 0.0000" Properties=species:S:1:pos:R:3 pbc="T T T"
Gd 0.0000 0.0000 0.0000
Er 3.3581 3.3581 3.3581
Fe 1.6790 1.6790 1.6790
Ni 5.0371 5.0371 5.0371
```

***

Computed, not measured: GdErFePd after structural relaxation at the PBE-GGA level of DFT.

Electronic total energy   -33.56 eV/cell
Crystal system   cubic

Geometry as extended XYZ:
```
4
Lattice="0.0000 3.4386 3.4386 3.4386 0.0000 3.4386 3.4386 3.4386 0.0000" Properties=species:S:1:pos:R:3 pbc="T T T"
Gd 0.0000 0.0000 0.0000
Er 3.4386 3.4386 3.4386
Fe 5.1579 5.1579 5.1579
Pd 1.7193 1.7193 1.7193
```

***

Computed, not measured: Er4FeGe8 after structural relaxation at the PBE-GGA level of DFT.

Electronic total energy   -71.13 eV/cell
Crystal system   orthorhombic

Geometry as extended XYZ:
```
13
Lattice="3.9977 0.0000 0.0000 0.0000 4.1192 0.0000 0.0000 0.0000 15.7485" Properties=species:S:1:pos:R:3 pbc="T T T"
Er 0.0000 0.0000 0.0000
Er 0.0000 2.0596 7.7737
Er 1.9988 0.0000 12.4562
Er 1.9988 2.0596 4.5757
Fe 0.0000 2.0596 11.0744
Ge 0.0000 0.0000 5.3041
Ge 0.0000 0.0000 9.9711
Ge 0.0000 2.0596 2.2545
Ge 0.0000 2.0596 13.3905
Ge 1.9988 0.0000 2.3214
Ge 1.9988 0.0000 7.0432
Ge 1.9988 2.0596 9.9369
Ge 1.9988 2.0596 15.0752
```

***

Computed, not measured: ErFeGe after structural relaxation at the PBE-GGA level of DFT.

Electronic total energy   -18.90 eV/cell
Crystal system   hexagonal

Geometry as extended XYZ:
```
3
Lattice="4.1601 0.0000 0.0000 -2.0800 3.6027 0.0000 0.0000 0.0000 3.6978" Properties=species:S:1:pos:R:3 pbc="T T T"
Er 0.0000 0.0000 0.0000
Fe 2.0800 1.2009 1.8489
Ge 0.0000 2.4018 1.8489
```

***

Computed, not measured: ErFe2Ge3 after structural relaxation at the PBE-GGA level of DFT.

Electronic total energy   -74.13 eV/cell
Crystal system   orthorhombic

Geometry as extended XYZ:
```
12
Lattice="4.6075 -3.7633 0.0000 4.6075 3.7633 0.0000 0.0000 0.0000 5.4193" Properties=species:S:1:pos:R:3 pbc="T T T"
Er 4.6075 2.6765 4.0645
Er 4.6075 -2.6765 1.3548
Fe 2.6706 0.0000 0.0000
Fe 2.6706 0.0000 2.7097
Fe 6.5445 0.0000 0.0000
Fe 6.5445 0.0000 2.7097
Ge 3.0101 2.1670 1.3548
Ge 6.2050 2.1670 1.3548
Ge 4.6075 0.1759 1.3548
Ge 4.6075 -0.1759 4.0645
Ge 3.0101 -2.1670 4.0645
Ge 6.2050 -2.1670 4.0645
```

***

Computed, not measured: Er3FeGe3 after structural relaxation at the PBE-GGA level of DFT.

Electronic total energy   -82.20 eV/cell
Crystal system   monoclinic
ΔE to the lowest computed polymorph   0.000 eV/f.u.

Geometry as extended XYZ:
```
14
Lattice="5.2899 -2.0900 0.0000 5.2899 2.0900 0.0000 -4.8199 0.0000 12.8841" Properties=species:S:1:pos:R:3 pbc="T T T"
Er -1.5541 0.0000 4.9177
Er -3.3895 0.0000 11.8497
Er 1.4780 0.0000 2.9718
Er 4.2819 0.0000 9.9123
Er 9.1494 0.0000 1.0344
Er 7.3140 0.0000 7.9665
Fe -0.1239 0.0000 7.6326
Fe 5.8838 0.0000 5.2515
Ge 1.6081 0.0000 5.8531
Ge -0.4900 0.0000 11.9142
Ge 1.1658 0.0000 9.7772
Ge 4.5941 0.0000 3.1070
Ge 6.2499 0.0000 0.9700
Ge 4.1518 0.0000 7.0311
```

***

Computed, not measured: Er2FeGe3 after structural relaxation at the PBE-GGA level of DFT.

Electronic total energy   -34.69 eV/cell
Crystal system   monoclinic

Geometry as extended XYZ:
```
6
Lattice="5.1273 -2.1149 0.0000 5.1273 2.1149 0.0000 -4.4673 0.0000 5.2634" Properties=species:S:1:pos:R:3 pbc="T T T"
Er 0.0000 0.0000 0.0000
Er -1.4808 0.0000 3.1340
Fe 1.4018 0.0000 2.8874
Ge 2.9558 0.0000 0.9926
Ge 2.6297 0.0000 4.8601
Ge 5.8214 0.0000 2.2167
```

***

Computed, not measured: ErFeGe after structural relaxation at the PBE-GGA level of DFT.

Electronic total energy   -38.45 eV/cell
Crystal system   tetragonal

Geometry as extended XYZ:
```
6
Lattice="-2.0206 2.0206 6.6379 2.0206 -2.0206 6.6379 2.0206 2.0206 -6.6379" Properties=species:S:1:pos:R:3 pbc="T T T"
Er 0.0000 0.0000 1.9790
Er 0.0000 0.0000 11.2968
Fe 2.0206 0.0000 0.0000
Fe 0.0000 2.0206 0.0000
Ge 0.0000 0.0000 5.1929
Ge 0.0000 0.0000 8.0829
```